DFT (PBE-GGA) results for crystalline CeSn4Pt2 at its relaxed geometry.

Computed properties:
For the theoretical density, the calculation gives 10.335 g cm⁻³. Its energy of formation is -0.61 eV per atom. The volume comes out at 646.0 Å³ per cell. For the density of states at the Fermi level, the calculation gives 30.9 states/eV per cell. Its calculated total energy is -5.471 eV per atom.

Cell lengths 4.543, 7.368, 19.299 Å; angles 90.00, 90.00, 90.00 degrees
Fractional positions:
Ce1 0.750 0.982 0.639
Ce2 0.250 0.018 0.361
Ce3 0.250 0.482 0.861
Ce4 0.750 0.518 0.139
Sn1 0.250 0.259 0.696
Sn2 0.750 0.741 0.304
Sn3 0.750 0.759 0.804
Sn4 0.250 0.241 0.196
Sn5 0.250 0.688 0.681
Sn6 0.750 0.312 0.319
Sn7 0.750 0.188 0.819
Sn8 0.250 0.812 0.181
Sn9 0.250 0.138 0.535
Sn10 0.750 0.862 0.465
Sn11 0.750 0.638 0.965
Sn12 0.250 0.362 0.035
Sn13 0.250 0.484 0.434
Sn14 0.750 0.516 0.566
Sn15 0.750 0.984 0.066
Sn16 0.250 0.016 0.934
Pt1 0.250 0.758 0.534
Pt2 0.750 0.242 0.466
Pt3 0.750 0.258 0.966
Pt4 0.250 0.742 0.034
Pt5 0.250 0.967 0.790
Pt6 0.750 0.033 0.210
Pt7 0.750 0.467 0.710
Pt8 0.250 0.533 0.290

---

DFT (PBE-GGA) results for crystalline CePm6Sm8 at its relaxed geometry.

Computed properties:
For the theoretical density, the calculation gives 7.160 g cm⁻³. Its energy of formation is 0.12 eV per atom. The volume comes out at 513.2 Å³ per cell. For the density of states at the Fermi level, the calculation gives 26.0 states/eV per cell. Its calculated total energy is -4.691 eV per atom.

Cell lengths 8.777, 8.777, 8.777 Å; angles 63.32, 63.32, 63.32 degrees
Fractional positions:
Ce1 0.000 0.000 0.000
Pm1 0.898 0.460 0.766
Pm2 0.234 0.102 0.540
Pm3 0.540 0.234 0.102
Pm4 0.460 0.766 0.898
Pm5 0.766 0.898 0.460
Pm6 0.102 0.540 0.234
Sm1 0.113 0.716 0.753
Sm2 0.247 0.887 0.284
Sm3 0.284 0.247 0.887
Sm4 0.577 0.577 0.577
Sm5 0.423 0.423 0.423
Sm6 0.716 0.753 0.113
Sm7 0.753 0.113 0.716
Sm8 0.887 0.284 0.247

---

DFT (PBE-GGA) results for crystalline Tb2PmZn at its relaxed geometry.

Computed properties:
For the theoretical density, the calculation gives 7.959 g cm⁻³. Its energy of formation is 0.08 eV per atom. The volume comes out at 110.2 Å³ per cell. For the density of states at the Fermi level, the calculation gives 5.2 states/eV per cell. The value obtained for the energy above the most stable polymorph in this dataset is 240.4 meV per atom. Its calculated total energy is -3.742 eV per atom.

Cell lengths 5.382, 5.382, 5.382 Å; angles 60.00, 60.00, 60.00 degrees
Fractional positions:
Zn1 0.500 0.500 0.500
Tb1 0.250 0.250 0.250
Tb2 0.750 0.750 0.750
Pm1 0.000 0.000 0.000

---

DFT (PBE-GGA) results for crystalline In2GaSnBr5 at its relaxed geometry.

Computed properties:
For the theoretical density, the calculation gives 3.986 g cm⁻³. The volume comes out at 681.3 Å³ per cell. The calculation puts the formation energy from raw total energies at -5.82 eV per formula unit. For the density of states at the Fermi level, the calculation gives 0.0 states/eV per cell. Its calculated total energy is -2.966 eV per atom.

Cell lengths 4.417, 9.714, 16.304 Å; angles 90.00, 90.00, 103.14 degrees
Fractional positions:
In1 0.861 0.723 0.763
In2 0.071 0.143 0.660
In3 0.139 0.277 0.263
In4 0.929 0.857 0.160
Ga1 0.546 0.093 0.950
Ga2 0.454 0.907 0.450
Sn1 0.758 0.515 0.529
Sn2 0.242 0.485 0.029
Br1 0.397 0.793 0.012
Br2 0.719 0.437 0.909
Br3 0.483 0.965 0.771
Br4 0.252 0.504 0.661
Br5 0.918 0.836 0.570
Br6 0.603 0.207 0.512
Br7 0.281 0.563 0.409
Br8 0.517 0.035 0.271
Br9 0.748 0.496 0.161
Br10 0.082 0.164 0.070

---

Q: Among the records above, which one has the lowest volume?
A: Tb2PmZn